# 1
Density functional theory data (PBE) for crystalline ZnNi2As at its relaxed geometry.

As for the theoretical density: 8.3 g/cm3. The offset from the most stable computed form comes out at 0.082 eV per atom. As for the formation energy: -0.13 eV/atom. For the volume, the calculation gives 51.5 Å³ per cell.

a b c (Å): 3.020 3.048 6.373
angles (deg): 61.36 90.00 90.00
Fractional positions:
As: 0.500 0.750 0.750
Ni: 0.000 0.006 0.994
Ni: 0.000 0.494 0.506
Zn: 0.500 0.250 0.250



# 2
Density functional theory data (PBE) for crystalline BAsPd at its relaxed geometry.

As for the theoretical density: 7.3 g/cm3. The offset from the most stable computed form comes out at 0.024 eV per atom. As for the formation energy: -0.01 eV/atom. For the volume, the calculation gives 174.7 Å³ per cell.

a b c (Å): 3.163 10.545 5.237
angles (deg): 90.00 90.00 90.00
Fractional positions:
As: 0.250 0.341 0.338
As: 0.750 0.659 0.338
As: 0.250 0.841 0.838
As: 0.750 0.159 0.838
B: 0.250 0.974 0.528
B: 0.750 0.026 0.528
B: 0.250 0.474 0.028
B: 0.750 0.526 0.028
Pd: 0.250 0.612 0.697
Pd: 0.750 0.388 0.697
Pd: 0.250 0.112 0.197
Pd: 0.750 0.888 0.197



# 3
Density functional theory data (PBE) for crystalline CsK2NaSb at its relaxed geometry.

As for the theoretical density: 1.8 g/cm3. The offset from the most stable computed form comes out at 0.117 eV per atom. As for the raw formation energy: -0.5 eV/f.u. For the volume, the calculation gives 336.5 Å³ per cell.

a b c (Å): 6.819 6.819 7.236
angles (deg): 90.00 90.00 90.00
Fractional positions:
Cs: 0.000 0.000 0.500
Sb: 0.000 0.000 0.000
K: 0.000 0.500 0.000
K: 0.500 0.000 0.000
Na: 0.500 0.500 0.500



# 4
Density functional theory data (PBE) for crystalline PrNd2Sm9 at its relaxed geometry.

As for the theoretical density: 7.2 g/cm3. The offset from the most stable computed form comes out at 0.027 eV per atom. As for the formation energy: 0.04 eV/atom. For the volume, the calculation gives 410.0 Å³ per cell.

a b c (Å): 3.564 11.526 11.526
angles (deg): 120.00 90.00 90.00
Fractional positions:
Pr: 0.000 0.000 0.000
Nd: 0.000 0.333 0.667
Nd: 0.000 0.667 0.333
Sm: 0.000 0.000 0.500
Sm: 0.000 0.500 0.500
Sm: 0.000 0.500 0.000
Sm: 0.500 0.348 0.174
Sm: 0.500 0.174 0.826
Sm: 0.500 0.174 0.348
Sm: 0.500 0.826 0.652
Sm: 0.500 0.826 0.174
Sm: 0.500 0.652 0.826



# 5
Density functional theory data (PBE) for crystalline YBe2 at its relaxed geometry.

As for the theoretical density: 3.6 g/cm3. As for the formation energy: 0.18 eV/atom. For the volume, the calculation gives 196.0 Å³ per cell.

a b c (Å): 4.191 5.784 8.087
angles (deg): 90.00 90.00 90.00
Fractional positions:
Y: 0.250 0.679 0.408
Y: 0.750 0.821 0.908
Y: 0.250 0.179 0.092
Y: 0.750 0.321 0.592
Be: 0.250 0.996 0.695
Be: 0.750 0.504 0.195
Be: 0.250 0.496 0.805
Be: 0.750 0.004 0.305
Be: 0.250 0.127 0.431
Be: 0.750 0.373 0.931
Be: 0.250 0.627 0.069
Be: 0.750 0.873 0.569



# 6
Density functional theory data (PBE) for crystalline KZn2Co at its relaxed geometry.

As for the theoretical density: 4.6 g/cm3. The offset from the most stable computed form comes out at 0.184 eV per atom. As for the formation energy: 0.46 eV/atom. For the volume, the calculation gives 82.6 Å³ per cell.

a b c (Å): 6.179 6.179 6.179
angles (deg): 154.08 126.26 60.61
Fractional positions:
Co: 0.750 0.250 0.500
K: 0.250 0.750 0.500
Zn: 0.939 0.939 0.000
Zn: 0.561 0.561 0.000



- Which of these has the lowest theoretical density?
  CsK2NaSb



- The highest theoretical density belongs to which entry?
  ZnNi2As



- What is the formula in the sixth record?
  KZn2Co